A plane-wave DFT calculation with PBE was carried out for a relaxed structure of RbS2IO8.

Properties
Total magnetic moment (μB per formula unit): 0.0
Energy relative to the elements, uncorrected (eV per atom): -1.2165

Unit cell a=6.0234 b=6.0234 c=9.1697 alpha=115.95 beta=115.95 gamma=51.72
With the nearest neighbours (Å) after each atom.
Fractional coordinates of all 12 atoms:
Rb1 0.0000 0.0000 0.0000  10 O 2.94-3.27
S1 0.4097 0.4097 0.2419  4 O 1.45-1.56
S2 0.5903 0.5903 0.7581  4 O 1.45-1.56
I1 0.0000 0.0000 0.5000  4 O 2.16
O1 0.2595 0.7214 0.6726  1 S 1.56
O2 0.2786 0.7405 0.3274  1 S 1.56
O3 0.2923 0.2923 0.2751  1 S 1.45
O4 0.3793 0.3793 0.0691  1 S 1.45
O5 0.6207 0.6207 0.9309  1 S 1.45
O6 0.7077 0.7077 0.7249  1 S 1.45
O7 0.7214 0.2595 0.6726  1 S 1.56
O8 0.7405 0.2786 0.3274  1 S 1.56

A plane-wave DFT calculation with PBE was carried out for a relaxed structure of PrGa7Ni5.

Properties
ΔE_f (kJ/mol of formula units): -547
Total magnetic moment (μB per formula unit): 0.0

Unit cell a=6.6301 b=6.6301 c=6.6301 alpha=134.80 beta=97.25 gamma=99.74
With the nearest neighbours (Å) after each atom.
Fractional coordinates of all 13 atoms:
Pr1 0.0000 0.0000 0.0000  8 Ga 2.91-3.12, 2 Ni 3.22
Ga1 0.1975 0.4922 0.7054  5 Ni 2.46-2.61
Ga2 0.2391 0.7391 0.5000  4 Ni 2.46, 2 Ga 2.74
Ga3 0.3563 0.3563 0.0000  5 Ga 2.59-2.83, 4 Ni 2.62
Ga4 0.3674 0.0221 0.3454  5 Ni 2.52-2.72, 2 Ga 2.71-2.77
Ga5 0.6594 0.6594 0.0000  1 Ga 2.59, 6 Ni 2.72
Ga6 0.6767 0.0221 0.6546  5 Ni 2.52-2.72, 2 Ga 2.71-2.77
Ga7 0.7868 0.4922 0.2946  5 Ni 2.46-2.61
Ni1 0.0133 0.0006 0.5067  7 Ga 2.46-2.72, 3 Ni 2.52-2.62
Ni2 0.0133 0.5066 0.0127  7 Ga 2.46-2.72, 3 Ni 2.52-2.62
Ni3 0.4939 0.0006 0.9873  7 Ga 2.46-2.72, 3 Ni 2.52-2.62
Ni4 0.4939 0.5066 0.4933  7 Ga 2.46-2.72, 3 Ni 2.52-2.62
Ni5 0.7704 0.2704 0.5000  6 Ga 2.52-2.72, 4 Ni 2.62

A plane-wave DFT calculation with PBE was carried out for a relaxed structure of BaGa5Pt3.

Properties
ΔE_f (kJ/mol of formula units): -588
Total magnetic moment (μB per formula unit): 0.0

Unit cell a=6.8938 b=6.8938 c=13.1518 alpha=90.00 beta=90.00 gamma=144.65
With the nearest neighbours (Å) after each atom.
Fractional coordinates of all 18 atoms:
Ba1 0.1680 0.8320 0.7500  7 Pt 3.50-3.76, 8 Ga 3.61-3.76
Ba2 0.8320 0.1680 0.2500  7 Pt 3.50-3.76, 8 Ga 3.61-3.76
Ga1 0.0000 0.0000 0.0000  4 Pt 2.59, 2 Ga 2.79
Ga2 0.0000 0.0000 0.5000  4 Pt 2.59, 2 Ga 2.79
Ga3 0.2013 0.7987 0.0679  4 Pt 2.50-2.75, 1 Ga 2.79
Ga4 0.2013 0.7987 0.4321  4 Pt 2.50-2.75, 1 Ga 2.79
Ga5 0.4517 0.5483 0.6524  1 Ga 2.57, 4 Pt 2.58-2.62
Ga6 0.4517 0.5483 0.8476  1 Ga 2.57, 4 Pt 2.58-2.62
Ga7 0.5483 0.4517 0.1524  1 Ga 2.57, 4 Pt 2.58-2.62
Ga8 0.5483 0.4517 0.3476  1 Ga 2.57, 4 Pt 2.58-2.62
Ga9 0.7987 0.2013 0.5679  4 Pt 2.50-2.75, 1 Ga 2.79
Ga10 0.7987 0.2013 0.9321  4 Pt 2.50-2.75, 1 Ga 2.79
Pt1 0.1182 0.8818 0.2500  6 Ga 2.62-2.63
Pt2 0.3882 0.6118 0.0335  7 Ga 2.50-2.75
Pt3 0.3882 0.6118 0.4665  7 Ga 2.50-2.75
Pt4 0.6118 0.3882 0.5335  7 Ga 2.50-2.75
Pt5 0.6118 0.3882 0.9665  7 Ga 2.50-2.75
Pt6 0.8818 0.1182 0.7500  6 Ga 2.62-2.63

A plane-wave DFT calculation with PBE was carried out for a relaxed structure of Sc3InO.

Properties
Total magnetic moment (μB per formula unit): 1.1
Energy relative to the elements, uncorrected (eV per atom): 0.0069

Unit cell a=4.4009 b=4.4009 c=14.5798 alpha=90.00 beta=90.00 gamma=120.00
With the nearest neighbours (Å) after each atom.
Fractional coordinates of all 10 atoms:
Sc1 0.0000 0.0000 0.2500  3 In 2.54
Sc2 0.0000 0.0000 0.7500  3 In 2.54
Sc3 0.3333 0.6667 0.0594  3 O 2.68, 1 In 2.78
Sc4 0.3333 0.6667 0.4406  3 O 2.68, 1 In 2.78
Sc5 0.6667 0.3333 0.5594  3 O 2.68, 1 In 2.78
Sc6 0.6667 0.3333 0.9406  3 O 2.68, 1 In 2.78
In1 0.3333 0.6667 0.2500  5 Sc 2.54-2.78
In2 0.6667 0.3333 0.7500  5 Sc 2.54-2.78
O1 0.0000 0.0000 0.0000  6 Sc 2.68
O2 0.0000 0.0000 0.5000  6 Sc 2.68

A plane-wave DFT calculation with PBE was carried out for a relaxed structure of HoLuH.

Properties
ΔE to the lowest computed polymorph (eV per atom): 0.000
Total magnetic moment (μB per formula unit): 0.0

Unit cell a=3.5625 b=3.5625 c=5.4651 alpha=90.00 beta=90.00 gamma=120.00
With the nearest neighbours (Å) after each atom.
Fractional coordinates of all 3 atoms:
Ho1 0.0000 0.0000 0.0000  3 H 2.47
Lu1 0.6667 0.3333 0.5073  3 H 2.45
H1 0.3333 0.6667 0.7502  3 Lu 2.45, 3 Ho 2.47

A plane-wave DFT calculation with PBE was carried out for a relaxed structure of LiSnBi2.

Properties
ΔE_f (kJ/mol of formula units): -48
Total magnetic moment (μB per formula unit): 0.0

Unit cell a=4.9858 b=4.9858 c=4.4777 alpha=90.00 beta=90.00 gamma=90.00
With the nearest neighbours (Å) after each atom.
Fractional coordinates of all 4 atoms:
Li1 0.0000 0.0000 0.0000  8 Bi 3.35, 4 Sn 3.53
Sn1 0.5000 0.5000 0.0000  8 Bi 3.35, 4 Li 3.53
Bi1 0.0000 0.5000 0.5000  4 Li 3.35, 4 Sn 3.35, 4 Bi 3.53
Bi2 0.5000 0.0000 0.5000  4 Li 3.35, 4 Sn 3.35, 4 Bi 3.53

A plane-wave DFT calculation with PBE was carried out for a relaxed structure of SbAs2Se.

Properties
ΔE to the lowest computed polymorph (eV per atom): 0.260
Total magnetic moment (μB per formula unit): 0.0
Energy relative to the elements, uncorrected (eV per atom): 0.2757

Unit cell a=3.6831 b=7.3588 c=8.9011 alpha=90.00 beta=90.00 gamma=90.00
With the nearest neighbours (Å) after each atom.
Fractional coordinates of all 8 atoms:
Sb1 0.0000 0.0000 0.0000  2 Se 2.61
Sb2 0.5000 0.5000 0.0000  2 Se 2.61
As1 0.0000 0.0000 0.4673  2 As 2.41
As2 0.0000 0.5000 0.2929  2 As 2.41
As3 0.5000 0.0000 0.2929  2 As 2.41
As4 0.5000 0.5000 0.4673  2 As 2.41
Se1 0.0000 0.5000 0.7927  2 Sb 2.61
Se2 0.5000 0.0000 0.7927  2 Sb 2.61

A plane-wave DFT calculation with PBE was carried out for a relaxed structure of La4Tm3Cd.

Properties
ΔE_f (kJ/mol of formula units): -38
Total magnetic moment (μB per formula unit): 0.0

Unit cell a=3.7457 b=3.7457 c=18.8117 alpha=90.00 beta=90.00 gamma=90.00
With the nearest neighbours (Å) after each atom.
Fractional coordinates of all 8 atoms:
La1 0.0000 0.0000 0.1130  4 Cd 3.40, 4 Tm 3.63, 4 La 3.75
La2 0.0000 0.0000 0.3726  8 Tm 3.57-3.58, 4 La 3.75
La3 0.0000 0.0000 0.6274  8 Tm 3.57-3.58, 4 La 3.75
La4 0.0000 0.0000 0.8870  4 Cd 3.40, 4 Tm 3.63, 4 La 3.75
Tm1 0.5000 0.5000 0.2446  8 La 3.58-3.63, 4 Tm 3.75
Tm2 0.5000 0.5000 0.5000  8 La 3.57, 4 Tm 3.75
Tm3 0.5000 0.5000 0.7554  8 La 3.58-3.63, 4 Tm 3.75
Cd1 0.5000 0.5000 0.0000  8 La 3.40, 4 Cd 3.75